Model 1:
Compound: Ca2CrFe
Source: the Alexandria database
Functional: PBE-GGA
Structure: relaxed

Structure (extended XYZ):
```
8
Lattice="10.753 0.000 0.000 0.000 10.753 0.000 5.377 5.377 2.130" Properties=species:S:1:pos:R:3 pbc="T T T"
Cr 5.377 10.753 1.065
Cr 5.377 5.377 0.000
Fe 0.000 0.000 0.000
Fe 10.753 5.377 1.065
Ca 8.065 6.148 1.597
Ca 13.441 4.605 1.597
Ca 9.982 2.688 0.532
Ca 11.524 8.065 0.532
```

Summary:
space group: I-42d (122)

Model 2:
Compound: Ca2CrFe
Source: the Alexandria database
Functional: PBE-GGA
Structure: relaxed

Structure (extended XYZ):
```
4
Lattice="-4.544 1.344 -3.304 -5.744 -0.542 -0.277 -2.814 4.126 1.454" Properties=species:S:1:pos:R:3 pbc="T T T"
Cr -7.027 2.252 -1.383
Fe -2.840 1.426 -0.238
Ca -10.104 0.884 -3.456
Ca -9.971 3.632 -1.692
```

Summary:
space group: Imm2 (44)

Model 3:
Compound: Ca2CrFe
Source: the Alexandria database
Functional: PBE-GGA
Structure: relaxed

Structure (extended XYZ):
```
4
Lattice="3.774 0.000 0.000 0.000 4.843 0.000 0.000 2.435 5.529" Properties=species:S:1:pos:R:3 pbc="T T T"
Cr 0.000 4.548 2.876
Ca 1.887 2.124 1.876
Ca 0.000 6.973 4.992
Fe 1.887 4.550 4.078
```

Summary:
space group: Pm (6)

Model 4:
Compound: Ca2CrFe
Source: the Alexandria database
Functional: PBE-GGA
Structure: relaxed

Structure (extended XYZ):
```
4
Lattice="3.272 0.019 0.000 -0.019 3.272 0.000 0.000 0.000 8.690" Properties=species:S:1:pos:R:3 pbc="T T T"
Fe 1.626 1.646 5.842
Ca 1.626 1.646 2.738
Ca 0.000 0.000 8.087
Cr 0.000 0.000 5.060
```

Summary:
space group: P4mm (99)

Stability, lowest: model 1

Model 1:
Compound: Ca2CrFe
Source: the Alexandria database
Functional: PBE-GGA
Structure: relaxed

Structure (extended XYZ):
```
4
Lattice="1.836 -4.827 -0.110 0.331 -2.738 4.368 -3.181 -3.992 0.793" Properties=species:S:1:pos:R:3 pbc="T T T"
Ca -0.761 -8.668 3.788
Ca -0.254 -2.889 1.263
Fe -0.507 -5.779 2.526
Cr 0.000 0.000 0.000
```

Summary:
space group: Fm-3m (225)

Model 2:
Compound: Ca2CrFe
Source: the Alexandria database
Functional: PBE-GGA
Structure: relaxed

Structure (extended XYZ):
```
4
Lattice="10.161 -0.091 -0.054 9.632 3.235 -0.054 9.632 1.530 2.851" Properties=species:S:1:pos:R:3 pbc="T T T"
Fe 22.069 3.506 2.058
Ca 14.542 2.310 1.356
Ca 0.171 0.027 0.016
Cr 7.356 1.169 0.686
```

Summary:
space group: R-3m (166)

Model 3:
Compound: Ca2CrFe
Source: the Alexandria database
Functional: PBE-GGA
Structure: relaxed

Structure (extended XYZ):
```
4
Lattice="-3.945 -1.058 3.056 -3.771 -3.011 -1.654 -0.548 -4.692 1.925" Properties=species:S:1:pos:R:3 pbc="T T T"
Cr -4.132 -4.380 1.663
Fe -6.198 -6.571 2.495
Ca -2.066 -2.190 0.832
Ca 0.000 0.000 0.000
```

Summary:
space group: F-43m (216)

Stability, lowest: model 2

Model 1:
Compound: CaCr3Fe
Source: the Alexandria database
Functional: PBE-GGA
Structure: relaxed

Structure (extended XYZ):
```
5
Lattice="4.590 0.000 0.000 0.000 4.590 0.000 0.000 0.000 4.590" Properties=species:S:1:pos:R:3 pbc="T T T"
Ca 0.000 0.000 0.000
Cr 0.000 0.000 2.295
Cr 0.000 2.295 0.000
Cr 2.295 0.000 0.000
Fe 2.295 2.295 2.295
```

Summary:
space group: Pm-3m (221)

Model 2:
Compound: CaCr3Fe
Source: the Alexandria database
Functional: PBE-GGA
Structure: relaxed

Structure (extended XYZ):
```
5
Lattice="-2.278 -2.914 -2.624 3.920 -1.757 -1.451 -0.084 -2.997 3.402" Properties=species:S:1:pos:R:3 pbc="T T T"
Cr 1.960 -0.879 -0.726
Cr -1.139 -1.457 -1.312
Cr -0.042 -1.499 1.701
Fe 0.000 0.000 0.000
Ca 0.779 -3.834 -0.337
```

Summary:
space group: Pm-3m (221)

Stability, lowest: model 1

Model 1:
Compound: Ca2CrFe2
Source: the Alexandria database
Functional: PBE-GGA
Structure: relaxed

Structure (extended XYZ):
```
10
Lattice="8.161 0.000 0.000 0.000 8.161 0.000 0.000 0.000 3.232" Properties=species:S:1:pos:R:3 pbc="T T T"
Ca 2.923 7.004 0.000
Ca 5.237 1.157 0.000
Ca 1.157 2.923 0.000
Ca 7.004 5.237 0.000
Fe 6.866 2.786 1.616
Fe 1.295 5.375 1.616
Fe 5.375 6.866 1.616
Fe 2.786 1.295 1.616
Cr 0.000 0.000 0.000
Cr 4.080 4.080 0.000
```

Summary:
space group: P4/mbm (127)

Model 2:
Compound: Ca2CrFe2
Source: the Alexandria database
Functional: PBE-GGA
Structure: relaxed

Structure (extended XYZ):
```
5
Lattice="3.246 0.000 0.000 0.000 3.246 0.000 1.623 1.623 9.753" Properties=species:S:1:pos:R:3 pbc="T T T"
Fe 3.246 1.623 4.876
Fe 1.623 3.246 4.876
Ca 3.246 3.246 7.585
Ca 1.623 1.623 2.168
Cr 0.000 0.000 0.000
```

Summary:
space group: I4/mmm (139)

Stability, lowest: model 1

Model 1:
Compound: CaCr3Ge
Source: the Alexandria database
Functional: PBE-GGA
Structure: relaxed

Structure (extended XYZ):
```
5
Lattice="-1.565 -4.705 -0.465 4.522 -1.347 -1.594 1.380 -0.924 4.695" Properties=species:S:1:pos:R:3 pbc="T T T"
Cr -0.783 -2.352 -0.233
Cr 2.261 -0.673 -0.797
Cr 0.690 -0.462 2.348
Ge 2.168 -3.488 1.318
Ca 0.000 0.000 0.000
```

Summary:
space group: Pm-3m (221)

Model 2:
Compound: CaCr3Ge
Source: the Alexandria database
Functional: PBE-GGA
Structure: relaxed

Structure (extended XYZ):
```
5
Lattice="-0.410 -2.463 4.169 0.460 -4.184 -2.428 4.820 0.190 0.586" Properties=species:S:1:pos:R:3 pbc="T T T"
Ca 2.435 -3.229 1.164
Ge 0.000 0.000 0.000
Cr -0.205 -1.232 2.084
Cr 0.230 -2.092 -1.214
Cr 2.410 0.095 0.293
```

Summary:
space group: Pm-3m (221)

Stability, lowest: model 1

Model 1:
Compound: CaLaCr2Ge
Source: the Alexandria database
Functional: PBE-GGA
Structure: relaxed

Structure (extended XYZ):
```
5
Lattice="4.497 0.000 0.000 0.000 5.596 0.000 0.000 0.000 4.497" Properties=species:S:1:pos:R:3 pbc="T T T"
Cr 2.248 0.000 0.000
Cr 0.000 0.000 2.248
La 0.000 0.000 0.000
Ge 2.248 2.798 2.248
Ca 0.000 2.798 0.000
```

Summary:
space group: P4/mmm (123)

Model 2:
Compound: CaLaCr2Ge
Source: the Alexandria database
Functional: PBE-GGA
Structure: relaxed

Structure (extended XYZ):
```
5
Lattice="-2.434 4.058 -1.490 -1.822 0.758 5.041 3.988 2.768 1.025" Properties=species:S:1:pos:R:3 pbc="T T T"
Cr -1.217 2.029 -0.745
Cr 1.994 1.384 0.513
Ca -0.911 0.379 2.520
La -0.134 3.792 2.288
Ge 0.000 0.000 0.000
```

Summary:
space group: P4/mmm (123)

Stability, lowest: model 1